(1)
# InPtW4 GGA-PBE optimized geometry
data_InPtW4
_chemical_formula_sum 'In4 Pt4 W16'
_symmetry_space_group_name_H-M 'F -4 3 m'
_symmetry_Int_Tables_number 216
_symmetry_space_group_name_Hall 'F -4 2 3'
_cell_length_a 7.523
_cell_length_b 7.523
_cell_length_c 7.523
_cell_angle_alpha 90.00
_cell_angle_beta 90.00
_cell_angle_gamma 90.00
loop_
_atom_site_label
_atom_site_fract_x
_atom_site_fract_y
_atom_site_fract_z
In1 0.000 0.000 0.000
Pt1 0.250 0.250 0.750
W1 0.126 0.126 0.374
# V	17.74	Å³ per atom
# E_form	549	meV per atom
# total moment	0.00	μB/f.u.
# total energy	-9.549	eV/atom

***

(2)
# In2PtW GGA-PBE optimized geometry
data_In2PtW
_chemical_formula_sum 'In6 Pt3 W3'
_symmetry_space_group_name_H-M 'R -3 m'
_symmetry_Int_Tables_number 166
_symmetry_space_group_name_Hall '-R 3 2"'
_cell_length_a 3.0289
_cell_length_b 3.0289
_cell_length_c 27.7595
_cell_angle_alpha 90.00
_cell_angle_beta 90.00
_cell_angle_gamma 120.00
loop_
_atom_site_label
_atom_site_fract_x
_atom_site_fract_y
_atom_site_fract_z
In1 0.0000 0.0000 0.2476
Pt1 0.0000 0.0000 0.5000
W1 0.0000 0.0000 0.0000
# V	18.38	Å³ per atom
# relative energy among the computed polymorphs	111.1	meV per atom
# E_form	225	meV per atom
# total moment	0.00	μB/f.u.
# total energy	-5.893	eV/atom

***

(3)
# In2PtW GGA-PBE optimized geometry
data_In2PtW
_chemical_formula_sum 'In8 Pt4 W4'
_symmetry_space_group_name_H-M 'F m -3 m'
_symmetry_Int_Tables_number 225
_symmetry_space_group_name_Hall '-F 4 2 3'
_cell_length_a 6.646
_cell_length_b 6.646
_cell_length_c 6.646
_cell_angle_alpha 90.00
_cell_angle_beta 90.00
_cell_angle_gamma 90.00
loop_
_atom_site_label
_atom_site_fract_x
_atom_site_fract_y
_atom_site_fract_z
In1 0.250 0.250 0.250
Pt1 0.000 0.000 0.000
W1 0.000 0.000 0.500
# V	18.35	Å³ per atom
# relative energy among the computed polymorphs	305.2	meV per atom
# E_form	419	meV per atom
# total moment	0.73	μB/f.u.
# total energy	-5.699	eV/atom

***

(4)
# In2PtW GGA-PBE optimized geometry
data_In2PtW
_chemical_formula_sum 'In2 Pt1 W1'
_symmetry_space_group_name_H-M 'P m m 2'
_symmetry_Int_Tables_number 25
_symmetry_space_group_name_Hall 'P 2 -2'
_cell_length_a 2.989
_cell_length_b 4.081
_cell_length_c 6.084
_cell_angle_alpha 90.00
_cell_angle_beta 90.00
_cell_angle_gamma 90.00
loop_
_atom_site_label
_atom_site_fract_x
_atom_site_fract_y
_atom_site_fract_z
In1 0.000 0.000 0.000
In2 0.500 0.500 0.297
Pt1 0.000 0.000 0.529
W1 0.500 0.500 0.772
# V	18.56	Å³ per atom
# relative energy among the computed polymorphs	169.2	meV per atom
# E_form	283	meV per atom
# total moment	0.00	μB/f.u.
# total energy	-5.835	eV/atom

***

(5)
# InPtW2 GGA-PBE optimized geometry
data_InPtW2
_chemical_formula_sum 'In1 Pt1 W2'
_symmetry_space_group_name_H-M 'P 4 m m'
_symmetry_Int_Tables_number 99
_symmetry_space_group_name_Hall 'P 4 -2'
_cell_length_a 3.339
_cell_length_b 3.339
_cell_length_c 6.185
_cell_angle_alpha 90.00
_cell_angle_beta 90.00
_cell_angle_gamma 90.00
loop_
_atom_site_label
_atom_site_fract_x
_atom_site_fract_y
_atom_site_fract_z
In1 0.000 0.000 0.000
Pt1 0.500 0.500 0.240
W1 0.000 0.000 0.510
W2 0.500 0.500 0.714
# V	17.24	Å³ per atom
# E_form	155	meV per atom
# total moment	0.00	μB/f.u.
# total energy	-8.517	eV/atom

***

(6)
# InPtW GGA-PBE optimized geometry
data_InPtW
_chemical_formula_sum 'In2 Pt2 W2'
_symmetry_space_group_name_H-M 'I 4 m m'
_symmetry_Int_Tables_number 107
_symmetry_space_group_name_Hall 'I 4 -2'
_cell_length_a 2.917
_cell_length_b 2.917
_cell_length_c 12.338
_cell_angle_alpha 90.00
_cell_angle_beta 90.00
_cell_angle_gamma 90.00
loop_
_atom_site_label
_atom_site_fract_x
_atom_site_fract_y
_atom_site_fract_z
In1 0.000 0.000 0.000
Pt1 0.000 0.000 0.321
W1 0.000 0.000 0.677
# V	17.50	Å³ per atom
# relative energy among the computed polymorphs	0.0	meV per atom
# E_form	44	meV per atom
# total moment	0.00	μB/f.u.
# total energy	-7.200	eV/atom